## BaIn3IrRh (PBE)

Data for an optimized crystal structure of BaIn3IrRh.

Lattice parameters (Å, degrees): 6.6819 8.1862 7.1818 124.75 90.00 90.00
Atoms (fractional coordinates):
In  0.5000  0.2430  0.0000
In  0.5000  0.7570  0.0000
In  0.7500  0.7190  0.4380
In  0.0000  0.2430  0.0000
In  0.2500  0.2810  0.5620
In  0.0000  0.7570  0.0000
Ir  0.7500  0.9356  0.8711
Ir  0.2500  0.0644  0.1289
Ba  0.2500  0.7722  0.5445
Ba  0.7500  0.2278  0.4555
Rh  0.7500  0.5047  0.0095
Rh  0.2500  0.4953  0.9905

The symmetry is Cmcm. As for the density of states at the Fermi level: 3.43 states/eV/f.u. The calculation puts the magnetic moment at 0.00 μB per cell. The calculation puts the energy at -4.632 eV per atom.



## BaInIrRu2 (PBE)

Data for an optimized crystal structure of BaInIrRu2.

Lattice parameters (Å, degrees): 4.9116 5.9841 4.9116 90.00 90.00 90.00
Atoms (fractional coordinates):
Ba  0.0000  0.5000  0.0000
In  0.0000  0.0000  0.0000
Ru  0.0000  0.0000  0.5000
Ru  0.5000  0.0000  0.0000
Ir  0.5000  0.5000  0.5000

The symmetry is P4/mmm. As for the density of states at the Fermi level: 5.62 states/eV/f.u. The calculation puts the magnetic moment at 3.88 μB per cell. The calculation puts the energy at -4.478 eV per atom.



## Ba2SmIn12Ir3 (PBE)

Data for an optimized crystal structure of Ba2SmIn12Ir3.

Lattice parameters (Å, degrees): 8.9460 8.9460 8.9460 68.26 68.26 68.26
Atoms (fractional coordinates):
In  0.1432  0.6009  0.1432
In  0.1432  0.1432  0.6009
In  0.2782  0.9212  0.2782
In  0.9212  0.2782  0.2782
In  0.8568  0.8568  0.3991
In  0.7218  0.0788  0.7218
In  0.0788  0.7218  0.7218
In  0.3991  0.8568  0.8568
In  0.8568  0.3991  0.8568
In  0.6009  0.1432  0.1432
In  0.7218  0.7218  0.0788
In  0.2782  0.2782  0.9212
Sm  0.0000  0.0000  0.0000
Ir  0.0000  0.5000  0.0000
Ir  0.0000  0.0000  0.5000
Ir  0.5000  0.0000  0.0000
Ba  0.4070  0.4070  0.4070
Ba  0.5930  0.5930  0.5930

The symmetry is R-3m. As for the density of states at the Fermi level: 13.26 states/eV/f.u. The calculation puts the magnetic moment at 0.00 μB per cell. The calculation puts the energy at -3.803 eV per atom.



- The lowest energy belongs to which entry?
  BaIn3IrRh